*A*
First-principles (PBE-GGA) data for a relaxed As2PSeN crystal, as listed in Alexandria via LeMat-Bulk.

Cell: 4.3413 4.3413 4.4461 Å, 90.00 90.00 90.00°
Last column: nearest neighbours and their distance in Å.
Sites, in units of the cell vectors:
As1 0.0000 0.5000 0.0000  2 N 2.17
As2 0.5000 0.0000 0.0000  2 N 2.17
P1 0.0000 0.0000 0.5000  4 Se 3.07, 8 As 3.11
Se1 0.5000 0.5000 0.5000  2 N 2.22
N1 0.5000 0.5000 0.0000  4 As 2.17, 2 Se 2.22

Calculated values
density: 5.43 g/cm3

***

*B*
First-principles (PBE-GGA) data for a relaxed As2PSeN crystal, as listed in Alexandria via LeMat-Bulk.

Cell: 4.7685 4.7685 4.9281 Å, 90.00 90.00 90.00°
Last column: nearest neighbours and their distance in Å.
Sites, in units of the cell vectors:
As1 0.0000 0.5000 0.0000  2 P 2.38
As2 0.5000 0.0000 0.0000  2 P 2.38
P1 0.0000 0.0000 0.0000  4 As 2.38, 2 Se 2.46
Se1 0.0000 0.0000 0.5000  2 P 2.46
N1 0.5000 0.5000 0.5000  4 Se 3.37, 8 As 3.43

Calculated values
density: 4.06 g/cm3

***

Of them, the most stable is *A* and the least stable is *B*.

***

*A*
First-principles (PBE-GGA) data for a relaxed Te2AsPN crystal, as listed in Alexandria via LeMat-Bulk.

Cell: 5.6150 5.6150 3.2612 Å, 90.00 90.00 90.00°
Last column: nearest neighbours and their distance in Å.
Sites, in units of the cell vectors:
Te1 0.0000 0.5000 0.0000  2 P 2.81
Te2 0.5000 0.0000 0.0000  2 P 2.81
As1 0.0000 0.0000 0.5000  8 Te 3.25, 2 As 3.26
P1 0.5000 0.5000 0.0000  2 N 1.63
N1 0.5000 0.5000 0.5000  2 P 1.63

Calculated values
density: 6.06 g/cm3

***

*B*
First-principles (PBE-GGA) data for a relaxed Te2AsPN crystal, as listed in Alexandria via LeMat-Bulk.

Cell: 5.5053 5.5053 3.6514 Å, 90.00 90.00 90.00°
Last column: nearest neighbours and their distance in Å.
Sites, in units of the cell vectors:
Te1 0.0000 0.5000 0.0000  2 As 2.75
Te2 0.5000 0.0000 0.0000  2 As 2.75
As1 0.0000 0.0000 0.0000  2 N 1.83
P1 0.5000 0.5000 0.5000  8 Te 3.30, 2 P 3.65
N1 0.0000 0.0000 0.5000  2 As 1.83

Calculated values
density: 5.63 g/cm3

***

Of them, the most stable is *A* and the least stable is *B*.